one | DFT (PBE) results for a relaxed structure of WSe2Br.

Unit cell a=6.1031 b=6.2417 c=6.3977 alpha=90.23 beta=92.28 gamma=118.33
With the nearest neighbours (Å) after each atom.
Fractional coordinates of all 8 atoms:
W  0.1626  0.8931  0.0208  3 Se 2.36-2.46
W  0.8374  0.1069  0.9792  3 Se 2.36-2.46
Se  0.8490  0.8482  0.2635  2 W 2.43-2.46
Se  0.1510  0.1518  0.7365  2 W 2.43-2.46
Se  0.4828  0.8336  0.7739  1 W 2.36
Se  0.5172  0.1664  0.2261  1 W 2.36
Br  0.8377  0.4917  0.7826  2 W 2.72-2.75
Br  0.1623  0.5083  0.2174  2 W 2.72-2.75

Calculated values
- space group = P-1

---

two | DFT (PBE) results for a relaxed structure of WSe2Br.

Unit cell a=3.3157 b=3.3157 c=9.7434 alpha=80.33 beta=80.33 gamma=59.99
With the nearest neighbours (Å) after each atom.
Fractional coordinates of all 4 atoms:
Br  0.2500  0.2500  0.2500  6 Br 3.32, 6 Se 3.61-3.62
Se  0.0246  0.0246  0.9287  3 W 2.57
Se  0.4754  0.4754  0.5713  3 W 2.57
W  0.7500  0.7500  0.7500  6 Se 2.57

Calculated values
- space group = C2/m
- D(E_F) (states/eV/cell) = 2.2

---

On energetic grounds, one is preferred over the next structure by 0.170 eV/atom.

---

one | DFT (PBE) results for a relaxed structure of WSe2Br.

Unit cell a=3.3264 b=6.6078 c=6.7521 alpha=64.82 beta=90.00 gamma=90.00
With the nearest neighbours (Å) after each atom.
Fractional coordinates of all 4 atoms:
Br  0.5000  0.6461  0.6728  2 W 2.61
Se  0.0000  0.9125  0.0931  1 W 2.26
Se  0.5000  0.3507  0.3328  2 W 2.47
W  0.0000  0.5907  0.4013  3 Se 2.26-2.47

Calculated values
- space group = Pm
- D(E_F) (states/eV/cell) = 1.6

---

two | DFT (PBE) results for a relaxed structure of WSe2Br.

Unit cell a=6.2323 b=6.2323 c=3.3748 alpha=56.22 beta=56.22 gamma=71.92
With the nearest neighbours (Å) after each atom.
Fractional coordinates of all 4 atoms:
Br  0.0000  0.5000  0.5000  4 Se 2.59
Se  0.0000  0.0000  0.0000  2 W 2.59, 2 Br 2.59
Se  0.5000  0.5000  0.0000  2 Br 2.59, 2 W 2.59
W  0.5000  0.0000  0.5000  4 Se 2.59

Calculated values
- space group = C2/m
- D(E_F) (states/eV/cell) = 3.2

---

On energetic grounds, one is preferred over the next structure by 0.967 eV/atom.